! PBE Na2AcO2F, relaxed; values from VASP
! * total moment: 0.00 μB per cell
! * raw formation energy: -2.24 eV/atom
! * E_tot: -5.3277 eV per atom
! * density of states at the Fermi level: 0.44 states/eV/f.u.
&SYSTEM
  ibrav = 0, nat = 6, ntyp = 4
/
ATOMIC_SPECIES
O 16.00 O.upf
Na 22.99 Na.upf
F 19.00 F.upf
Ac 227.00 Ac.upf
CELL_PARAMETERS angstrom
4.805 0.000 0.000
0.000 4.805 0.000
0.000 0.000 5.390
ATOMIC_POSITIONS angstrom
O 0.000 2.402 0.000
O 2.402 0.000 0.000
Na 2.402 2.402 4.180
Na 2.402 2.402 1.210
F 0.000 0.000 2.695
Ac 0.000 0.000 0.000